The following is a GGA-PBE calculation of crystalline TmNi4Te at its relaxed geometry, from the Alexandria database.

Calculated values
The calculation puts the density of states at the Fermi level at 3.88 states/eV per cell. The value obtained for the total energy is -5.409 eV/atom. As for the space group: F-43m, No. 216. The calculation puts the uncorrected formation energy at -286 meV/atom.

a b c (Å): 5.0008 5.0008 5.0008
angles (deg): 60.00 60.00 60.00
Positions (direct):
Ni 0.6258 0.6258 0.1225
Ni 0.6258 0.1225 0.6258
Ni 0.6258 0.6258 0.6258
Ni 0.1225 0.6258 0.6258
Tm 0.0000 0.0000 0.0000
Te 0.2500 0.2500 0.2500

***

The following is a GGA-PBE calculation of crystalline Tm6Ni2Te at its relaxed geometry, from the Alexandria database.

Calculated values
The calculation puts the density of states at the Fermi level at 14.60 states/eV per cell. The value obtained for the total energy is -5.070 eV/atom. As for the space group: Immm, No. 71. The calculation puts the uncorrected formation energy at -455 meV/atom. The value obtained for the energy above the most stable polymorph in this dataset is 0.00 eV per formula unit.

a b c (Å): 8.3516 8.3515 8.3515
angles (deg): 105.28 109.41 113.84
Positions (direct):
Tm 0.5233 0.7035 0.8197
Tm 0.4767 0.2965 0.1803
Tm 0.1162 0.2965 0.8197
Tm 0.8838 0.7035 0.1803
Tm 0.7913 0.7734 0.5647
Tm 0.2087 0.2266 0.4353
Tm 0.2087 0.7734 0.9821
Tm 0.7913 0.2266 0.0179
Tm 0.6877 0.3619 0.6742
Tm 0.3123 0.6381 0.3258
Tm 0.3123 0.9865 0.6742
Tm 0.6877 0.0135 0.3258
Ni 0.5000 0.3752 0.8752
Ni 0.5000 0.6248 0.1248
Ni 0.6429 0.0000 0.6429
Ni 0.3571 0.0000 0.3571
Te 0.0000 0.5000 0.5000
Te 0.0000 0.0000 0.0000

***

The following is a GGA-PBE calculation of crystalline Tm5NiTe2 at its relaxed geometry, from the Alexandria database.

Calculated values
The calculation puts the density of states at the Fermi level at 16.56 states/eV per cell. The value obtained for the total energy is -5.011 eV/atom. As for the space group: Pbam, No. 55. The calculation puts the uncorrected formation energy at -709 meV/atom. The value obtained for the energy above the most stable polymorph in this dataset is 0.00 eV per formula unit.

a b c (Å): 3.9659 8.0789 13.0325
angles (deg): 90.00 90.00 90.00
Positions (direct):
Tm 0.0000 0.0000 0.5000
Tm 0.0000 0.5000 0.0000
Tm 0.0000 0.8357 0.1799
Tm 0.0000 0.1643 0.8201
Tm 0.0000 0.6643 0.6799
Tm 0.0000 0.3357 0.3201
Tm 0.5000 0.6668 0.4164
Tm 0.5000 0.3332 0.5836
Tm 0.5000 0.8332 0.9164
Tm 0.5000 0.1668 0.0836
Ni 0.0000 0.5000 0.5000
Ni 0.0000 0.0000 0.0000
Te 0.5000 0.5366 0.1825
Te 0.5000 0.4634 0.8175
Te 0.5000 0.9634 0.6825
Te 0.5000 0.0366 0.3175

***

The following is a GGA-PBE calculation of crystalline Tm5Ni2Te2 at its relaxed geometry, from the Alexandria database.

Calculated values
The calculation puts the density of states at the Fermi level at 19.65 states/eV per cell. The value obtained for the total energy is -5.255 eV/atom. As for the space group: Cmce, No. 64. The calculation puts the uncorrected formation energy at -788 meV/atom.

a b c (Å): 7.5713 7.5457 8.5658
angles (deg): 90.00 63.77 90.00
Positions (direct):
Tm 0.0000 0.0000 0.0000
Tm 0.5000 0.5000 0.0000
Tm 0.4564 0.1594 0.7678
Tm 0.7759 0.8406 0.7678
Tm 0.2759 0.6594 0.7678
Tm 0.9564 0.3406 0.7678
Tm 0.5436 0.8406 0.2322
Tm 0.2241 0.1594 0.2322
Tm 0.7241 0.3406 0.2322
Tm 0.0436 0.6594 0.2322
Ni 0.1334 0.3692 0.0000
Ni 0.8666 0.6308 0.0000
Ni 0.3666 0.8692 0.0000
Ni 0.6334 0.1308 0.0000
Te 0.2093 0.0000 0.5814
Te 0.7093 0.5000 0.5814
Te 0.7907 0.0000 0.4186
Te 0.2907 0.5000 0.4186

***

The following is a GGA-PBE calculation of crystalline Tm5NiTe5 at its relaxed geometry, from the Alexandria database.

Calculated values
The calculation puts the density of states at the Fermi level at 8.79 states/eV per cell. The value obtained for the total energy is -5.068 eV/atom. As for the space group: C2/m, No. 12. The calculation puts the uncorrected formation energy at -1082 meV/atom.

a b c (Å): 6.0388 7.4314 8.4057
angles (deg): 107.40 90.00 113.97
Positions (direct):
Tm 0.8517 0.7034 0.1487
Tm 0.8520 0.7041 0.6962
Tm 0.5000 0.0000 0.0000
Tm 0.1480 0.2959 0.3038
Tm 0.1483 0.2966 0.8513
Ni 0.0000 0.0000 0.0000
Te 0.6847 0.3693 0.3339
Te 0.6650 0.3300 0.8226
Te 0.0000 0.0000 0.5000
Te 0.3350 0.6700 0.1774
Te 0.3153 0.6307 0.6661

***

The following is a GGA-PBE calculation of crystalline TmNiTe at its relaxed geometry, from the Alexandria database.

Calculated values
The calculation puts the density of states at the Fermi level at 1.65 states/eV per cell. The value obtained for the total energy is -5.253 eV/atom. As for the space group: P3m1, No. 156. The calculation puts the uncorrected formation energy at -788 meV/atom.

a b c (Å): 3.9892 4.2287 4.2287
angles (deg): 120.00 90.00 90.00
Positions (direct):
Ni 0.2086 0.6667 0.3333
Tm 0.6487 0.3333 0.6667
Te 0.1428 0.0000 0.0000

***

The following is a GGA-PBE calculation of crystalline Tm4NiTe at its relaxed geometry, from the Alexandria database.

Calculated values
The calculation puts the density of states at the Fermi level at 6.48 states/eV per cell. The value obtained for the total energy is -4.801 eV/atom. As for the space group: C2/m, No. 12. The calculation puts the uncorrected formation energy at -333 meV/atom. The value obtained for the energy above the most stable polymorph in this dataset is 1.56 eV per formula unit.

a b c (Å): 5.1838 10.5818 9.3031
angles (deg): 123.06 90.00 104.18
Positions (direct):
Tm 0.0246 0.0493 0.3464
Tm 0.1996 0.3991 0.0005
Tm 0.7518 0.5035 0.3154
Tm 0.6021 0.2043 0.6873
Tm 0.3979 0.7957 0.3127
Tm 0.2482 0.4965 0.6846
Tm 0.8004 0.6009 0.9995
Tm 0.9754 0.9507 0.6536
Ni 0.1149 0.2298 0.6730
Ni 0.8851 0.7702 0.3270
Te 0.1592 0.3184 0.2806
Te 0.8408 0.6816 0.7194

***

The following is a GGA-PBE calculation of crystalline Tm3Ni5Te12 at its relaxed geometry, from the Alexandria database.

Calculated values
The calculation puts the density of states at the Fermi level at 62.07 states/eV per cell. The value obtained for the total energy is -4.478 eV/atom. As for the space group: Ia-3d, No. 230. The calculation puts the uncorrected formation energy at -477 meV/atom.

a b c (Å): 14.0851 14.0851 14.0851
angles (deg): 109.47 109.47 109.47
Positions (direct):
Ni 0.1250 0.3750 0.2500
Ni 0.0000 0.5000 0.0000
Ni 0.0000 0.0000 0.0000
Ni 0.3750 0.2500 0.1250
Ni 0.5000 0.0000 0.5000
Ni 0.5000 0.5000 0.0000
Ni 0.1250 0.7500 0.3750
Ni 0.7500 0.1250 0.8750
Ni 0.7500 0.6250 0.3750
Ni 0.3750 0.1250 0.7500
Ni 0.6250 0.8750 0.2500
Ni 0.5000 0.5000 0.5000
Ni 0.5000 0.0000 0.0000
Ni 0.0000 0.0000 0.5000
Ni 0.2500 0.3750 0.6250
Ni 0.2500 0.8750 0.1250
Ni 0.0000 0.5000 0.5000
Ni 0.8750 0.2500 0.6250
Ni 0.6250 0.7500 0.8750
Ni 0.8750 0.6250 0.7500
Tm 0.7500 0.3750 0.1250
Tm 0.8750 0.7500 0.1250
Tm 0.3750 0.7500 0.6250
Tm 0.2500 0.1250 0.3750
Tm 0.8750 0.1250 0.2500
Tm 0.3750 0.6250 0.2500
Tm 0.6250 0.3750 0.7500
Tm 0.1250 0.8750 0.7500
Tm 0.7500 0.8750 0.6250
Tm 0.6250 0.2500 0.3750
Tm 0.1250 0.2500 0.8750
Tm 0.2500 0.6250 0.8750
Te 0.7047 0.1192 0.0292
Te 0.3245 0.5292 0.4100
Te 0.9708 0.3808 0.2953
Te 0.5292 0.2047 0.1192
Te 0.5855 0.7047 0.6755
Te 0.9708 0.5900 0.1755
Te 0.3245 0.7953 0.4145
Te 0.0900 0.9145 0.1192
Te 0.5900 0.9708 0.6755
Te 0.7047 0.5855 0.1755
Te 0.7953 0.4708 0.3808
Te 0.8245 0.9100 0.0292
Te 0.1192 0.7047 0.5292
Te 0.3808 0.4100 0.0855
Te 0.0855 0.9100 0.3808
Te 0.4145 0.1192 0.5900
Te 0.0855 0.1755 0.2047
Te 0.4708 0.6755 0.0900
Te 0.8245 0.9145 0.2953
Te 0.1192 0.4145 0.0900
Te 0.3808 0.9708 0.7953
Te 0.5900 0.6192 0.4145
Te 0.9100 0.8245 0.5292
Te 0.7953 0.3245 0.9145
Te 0.4100 0.3808 0.5855
Te 0.0900 0.1755 0.4708
Te 0.2047 0.6755 0.0855
Te 0.1755 0.0855 0.7047
Te 0.6192 0.0292 0.2047
Te 0.8808 0.5855 0.9100
Te 0.5292 0.3245 0.9100
Te 0.5855 0.8808 0.4100
Te 0.9145 0.8245 0.7953
Te 0.9145 0.0900 0.6192
Te 0.8808 0.2953 0.4708
Te 0.1755 0.0900 0.9708
Te 0.6192 0.5900 0.9145
Te 0.4100 0.0292 0.3245
Te 0.2953 0.4145 0.8245
Te 0.2047 0.5292 0.6192
Te 0.9100 0.0855 0.8808
Te 0.6755 0.2047 0.5855
Te 0.4708 0.7953 0.8808
Te 0.0292 0.4100 0.8245
Te 0.4145 0.2953 0.3245
Te 0.0292 0.6192 0.7047
Te 0.6755 0.4708 0.5900
Te 0.2953 0.8808 0.9708

***

The following is a GGA-PBE calculation of crystalline TmNiTe at its relaxed geometry, from the Alexandria database.

Calculated values
The calculation puts the density of states at the Fermi level at 8.06 states/eV per cell. The value obtained for the total energy is -4.982 eV/atom. As for the space group: P4_2/m, No. 84. The calculation puts the uncorrected formation energy at -517 meV/atom.

a b c (Å): 4.2380 8.2249 8.2249
angles (deg): 90.00 90.00 90.00
Positions (direct):
Ni 0.5000 0.8090 0.2708
Ni 0.5000 0.1910 0.7292
Ni 0.0000 0.2708 0.1910
Ni 0.0000 0.7292 0.8090
Tm 0.5000 0.7779 0.5897
Tm 0.0000 0.4103 0.7779
Tm 0.0000 0.5897 0.2221
Tm 0.5000 0.2221 0.4103
Te 0.5000 0.2810 0.0308
Te 0.0000 0.9692 0.2810
Te 0.0000 0.0308 0.7190
Te 0.5000 0.7190 0.9692